(1)
Mg2InCu at its PBEsol-relaxed geometry, computed with meta-GGA SCAN.

```
data_Mg2InCu
_chemical_formula_sum 'Mg4 In2 Cu2'
_cell_length_a 4.1840
_cell_length_b 4.1840
_cell_length_c 8.3737
_cell_angle_alpha 90.00
_cell_angle_beta 90.00
_cell_angle_gamma 90.00
_symmetry_space_group_name_H-M 'I 4/m m m'
_symmetry_Int_Tables_number 139
_symmetry_space_group_name_Hall '-I 4 2'
loop_
_atom_site_label
_atom_site_fract_x
_atom_site_fract_y
_atom_site_fract_z
Mg1 0.0000 0.5000 0.2500
In1 0.0000 0.0000 0.0000
Cu1 0.0000 0.0000 0.5000
```

Uncorrected energy ... -1.08120 Ry/atom
Energy of formation from the pure elements ... -0.077 eV/atom

(2)
MgZrRh2 at its PBEsol-relaxed geometry, computed with meta-GGA SCAN.

```
data_MgZrRh2
_chemical_formula_sum 'Mg1 Zr1 Rh2'
_cell_length_a 3.0096
_cell_length_b 4.1117
_cell_length_c 5.3004
_cell_angle_alpha 90.00
_cell_angle_beta 90.00
_cell_angle_gamma 90.00
_symmetry_space_group_name_H-M 'P m m 2'
_symmetry_Int_Tables_number 25
_symmetry_space_group_name_Hall 'P 2 -2'
loop_
_atom_site_label
_atom_site_fract_x
_atom_site_fract_y
_atom_site_fract_z
Mg1 0.0000 0.0000 0.0000
Zr1 0.5000 0.5000 0.6714
Rh1 0.0000 0.0000 0.4851
Rh2 0.5000 0.5000 0.1661
```

Uncorrected energy ... -1.93904 Ry/atom
Energy of formation from the pure elements ... -0.578 eV/atom

(3)
TaTl2Os at its PBEsol-relaxed geometry, computed with meta-GGA SCAN.

```
data_TaTl2Os
_chemical_formula_sum 'Ta1 Tl2 Os1'
_cell_length_a 3.1211
_cell_length_b 3.1211
_cell_length_c 8.5825
_cell_angle_alpha 90.00
_cell_angle_beta 90.00
_cell_angle_gamma 90.00
_symmetry_space_group_name_H-M 'P 4 m m'
_symmetry_Int_Tables_number 99
_symmetry_space_group_name_Hall 'P 4 -2'
loop_
_atom_site_label
_atom_site_fract_x
_atom_site_fract_y
_atom_site_fract_z
Ta1 0.0000 0.0000 0.0000
Tl1 0.0000 0.0000 0.5858
Tl2 0.5000 0.5000 0.2610
Os1 0.5000 0.5000 0.8412
```

Uncorrected energy ... -5.18203 Ry/atom
Energy above the most stable polymorph in this dataset ... 0.026 eV/atom
Energy of formation from the pure elements ... 0.290 eV/atom

(4)
MgMoCl at its PBEsol-relaxed geometry, computed with meta-GGA SCAN.

```
data_MgMoCl
_chemical_formula_sum 'Mg2 Mo2 Cl2'
_cell_length_a 2.9627
_cell_length_b 2.9627
_cell_length_c 11.7643
_cell_angle_alpha 90.00
_cell_angle_beta 90.00
_cell_angle_gamma 90.00
_symmetry_space_group_name_H-M 'I 4 m m'
_symmetry_Int_Tables_number 107
_symmetry_space_group_name_Hall 'I 4 -2'
loop_
_atom_site_label
_atom_site_fract_x
_atom_site_fract_y
_atom_site_fract_z
Mg1 0.0000 0.0000 0.0000
Mo1 0.0000 0.0000 0.6644
Cl1 0.0000 0.0000 0.2949
```

Uncorrected energy ... -1.15813 Ry/atom

(5)
K2FeH4S2O10 at its PBEsol-relaxed geometry, computed with meta-GGA SCAN.

```
data_K2FeH4S2O10
_chemical_formula_sum 'K4 Fe2 H8 S4 O20'
_cell_length_a 6.4623
_cell_length_b 7.3365
_cell_length_c 10.5912
_cell_angle_alpha 72.29
_cell_angle_beta 73.93
_cell_angle_gamma 68.65
_symmetry_space_group_name_H-M 'P -1'
_symmetry_Int_Tables_number 2
_symmetry_space_group_name_Hall '-P 1'
loop_
_atom_site_label
_atom_site_fract_x
_atom_site_fract_y
_atom_site_fract_z
K1 0.2037 0.2459 0.1004
K2 0.2685 0.7402 0.4259
Fe1 0.2488 0.0307 0.7502
H1 0.1516 0.4268 0.7091
H2 0.2635 0.6655 0.8648
H3 0.3598 0.3257 0.7941
H4 0.3758 0.6831 0.7058
S1 0.2605 0.7768 0.0743
S2 0.2658 0.2297 0.4140
O1 0.0630 0.3693 0.3604
O2 0.1025 0.8759 0.1848
O3 0.1598 0.6521 0.0386
O4 0.1926 0.1087 0.5499
O5 0.2378 0.7397 0.7717
O6 0.2844 0.3079 0.7295
O7 0.3091 0.9375 0.9538
O8 0.3957 0.0875 0.3220
O9 0.4133 0.3396 0.4214
O10 0.4752 0.6522 0.1218
```

Uncorrected energy ... -0.62304 Ry/atom

(6)
Be2AlAs at its PBEsol-relaxed geometry, computed with meta-GGA SCAN.

```
data_Be2AlAs
_chemical_formula_sum 'Be8 Al4 As4'
_cell_length_a 5.8470
_cell_length_b 5.8470
_cell_length_c 8.0804
_cell_angle_alpha 90.00
_cell_angle_beta 90.00
_cell_angle_gamma 90.00
_symmetry_space_group_name_H-M 'I -4 2 d'
_symmetry_Int_Tables_number 122
_symmetry_space_group_name_Hall 'I -4 2bw'
loop_
_atom_site_label
_atom_site_fract_x
_atom_site_fract_y
_atom_site_fract_z
Be1 0.2075 0.7500 0.1250
Al1 0.0000 0.0000 0.5000
As1 0.0000 0.0000 0.0000
```

Uncorrected energy ... -0.64075 Ry/atom
Energy above the most stable polymorph in this dataset ... 0.111 eV/atom
Energy of formation from the pure elements ... 0.445 eV/atom

(7)
CrSiPt2 at its PBEsol-relaxed geometry, computed with meta-GGA SCAN.

```
data_CrSiPt2
_chemical_formula_sum 'Cr4 Si4 Pt8'
_cell_length_a 3.8073
_cell_length_b 3.8073
_cell_length_c 16.8146
_cell_angle_alpha 90.00
_cell_angle_beta 90.00
_cell_angle_gamma 90.00
_symmetry_space_group_name_H-M 'I -4 2 d'
_symmetry_Int_Tables_number 122
_symmetry_space_group_name_Hall 'I -4 2bw'
loop_
_atom_site_label
_atom_site_fract_x
_atom_site_fract_y
_atom_site_fract_z
Cr1 0.0000 0.0000 0.0000
Si1 0.0000 0.0000 0.5000
Pt1 0.2457 0.2500 0.6250
```

Uncorrected energy ... -3.11612 Ry/atom

(8)
ErInPt at its PBEsol-relaxed geometry, computed with meta-GGA SCAN.

```
data_ErInPt
_chemical_formula_sum 'Er3 In3 Pt3'
_cell_length_a 7.4838
_cell_length_b 7.4838
_cell_length_c 3.8266
_cell_angle_alpha 90.00
_cell_angle_beta 90.00
_cell_angle_gamma 120.00
_symmetry_space_group_name_H-M 'P -6 2 m'
_symmetry_Int_Tables_number 189
_symmetry_space_group_name_Hall 'P -6 -2'
loop_
_atom_site_label
_atom_site_fract_x
_atom_site_fract_y
_atom_site_fract_z
Er1 0.0000 0.4066 0.0000
In1 0.0000 0.7396 0.5000
Pt1 0.0000 0.0000 0.0000
Pt2 0.3333 0.6667 0.5000
```

Uncorrected energy ... -3.85992 Ry/atom
Energy of formation from the pure elements ... -1.210 eV/atom

(9)
ZnB2I at its PBEsol-relaxed geometry, computed with meta-GGA SCAN.

```
data_ZnB2I
_chemical_formula_sum 'Zn4 B8 I4'
_cell_length_a 5.1341
_cell_length_b 5.1341
_cell_length_c 10.2128
_cell_angle_alpha 90.00
_cell_angle_beta 90.00
_cell_angle_gamma 90.00
_symmetry_space_group_name_H-M 'I -4 2 d'
_symmetry_Int_Tables_number 122
_symmetry_space_group_name_Hall 'I -4 2bw'
loop_
_atom_site_label
_atom_site_fract_x
_atom_site_fract_y
_atom_site_fract_z
Zn1 0.0000 0.0000 0.0000
B1 0.2041 0.2500 0.1250
I1 0.0000 0.0000 0.5000
```

Uncorrected energy ... -1.09928 Ry/atom
Energy above the most stable polymorph in this dataset ... 0.000 eV/atom

(10)
Tl3GeN at its PBEsol-relaxed geometry, computed with meta-GGA SCAN.

```
data_Tl3GeN
_chemical_formula_sum 'Tl3 Ge1 N1'
_cell_length_a 5.3993
_cell_length_b 5.3993
_cell_length_c 5.3993
_cell_angle_alpha 90.00
_cell_angle_beta 90.00
_cell_angle_gamma 90.00
_symmetry_space_group_name_H-M 'P m -3 m'
_symmetry_Int_Tables_number 221
_symmetry_space_group_name_Hall '-P 4 2 3'
loop_
_atom_site_label
_atom_site_fract_x
_atom_site_fract_y
_atom_site_fract_z
Tl1 0.0000 0.0000 0.5000
Ge1 0.0000 0.0000 0.0000
N1 0.5000 0.5000 0.5000
```

Uncorrected energy ... -3.51961 Ry/atom

(11)
Al3InRe at its PBEsol-relaxed geometry, computed with meta-GGA SCAN.

```
data_Al3InRe
_chemical_formula_sum 'Al3 In1 Re1'
_cell_length_a 4.8153
_cell_length_b 4.8153
_cell_length_c 4.8153
_cell_angle_alpha 90.00
_cell_angle_beta 90.00
_cell_angle_gamma 90.00
_symmetry_space_group_name_H-M 'P m -3 m'
_symmetry_Int_Tables_number 221
_symmetry_space_group_name_Hall '-P 4 2 3'
loop_
_atom_site_label
_atom_site_fract_x
_atom_site_fract_y
_atom_site_fract_z
Al1 0.0000 0.0000 0.5000
In1 0.5000 0.5000 0.5000
Re1 0.0000 0.0000 0.0000
```

Uncorrected energy ... -1.85722 Ry/atom
Energy above the most stable polymorph in this dataset ... 0.000 eV/atom
Energy of formation from the pure elements ... 0.279 eV/atom

(12)
ZrZnRu2 at its PBEsol-relaxed geometry, computed with meta-GGA SCAN.

```
data_ZrZnRu2
_chemical_formula_sum 'Zr1 Zn1 Ru2'
_cell_length_a 4.2813
_cell_length_b 4.2813
_cell_length_c 3.2432
_cell_angle_alpha 90.00
_cell_angle_beta 90.00
_cell_angle_gamma 90.00
_symmetry_space_group_name_H-M 'P 4/m m m'
_symmetry_Int_Tables_number 123
_symmetry_space_group_name_Hall '-P 4 2'
loop_
_atom_site_label
_atom_site_fract_x
_atom_site_fract_y
_atom_site_fract_z
Zr1 0.0000 0.0000 0.0000
Zn1 0.5000 0.5000 0.0000
Ru1 0.0000 0.5000 0.5000
```

Uncorrected energy ... -2.11912 Ry/atom
Energy of formation from the pure elements ... -0.365 eV/atom